A relaxed structure of MoI3O. Source: the Alexandria database, functional PBE with a Hubbard U.

As for the calculated density: 5.92 g/cm³. The value obtained for the offset from the most stable computed form is 0.0 meV per atom. As for the space group: Pm-3m.

Cell and atoms, written as POSCAR:
```
MoI3O
1.0
-1.6879 -1.7073 4.5791
3.7165 -3.5943 0.0298
3.1735 3.3012 2.4007
O I Mo
1 3 1
direct
0.0000 0.0000 0.0000
0.5000 0.0000 0.0000
0.0000 0.0000 0.5000
0.0000 0.5000 0.0000
0.5000 0.5000 0.5000
```